1.
16
Lattice="7.513 0.000 0.000 0.000 7.513 0.000 0.000 0.000 7.513" Properties=species:S:1:pos:R:3 comment="LiTlSb2 (GGA-PBE, optimized geometry)" e_form_raw_ev_per_fu=0.19 total_magnetization_mub_per_fu=0.000 pbc="T T T"
Li 0.000 0.000 0.000
Li 0.000 3.756 3.756
Li 3.756 0.000 3.756
Li 3.756 3.756 0.000
Tl 0.000 0.000 3.756
Tl 0.000 3.756 0.000
Tl 3.756 0.000 0.000
Tl 3.756 3.756 3.756
Sb 1.878 1.878 1.878
Sb 1.878 1.878 5.635
Sb 1.878 5.635 1.878
Sb 1.878 5.635 5.635
Sb 5.635 1.878 1.878
Sb 5.635 1.878 5.635
Sb 5.635 5.635 1.878
Sb 5.635 5.635 5.635

=====

2.
11
Lattice="4.890 -6.552 0.000 4.890 6.552 0.000 -1.823 0.000 5.243" Properties=species:S:1:pos:R:3 comment="LiTl8Sb2 (GGA-PBE, optimized geometry)" e_form_raw_ev_per_fu=-0.19 total_magnetization_mub_per_fu=0.000 pbc="T T T"
Li 0.000 0.000 0.000
Tl 2.367 1.843 1.988
Tl 4.890 3.175 0.000
Tl 1.413 0.000 4.572
Tl 2.367 -1.843 1.988
Tl 5.590 1.843 3.254
Tl 6.544 0.000 0.671
Tl 4.890 -3.175 0.000
Tl 5.590 -1.843 3.254
Sb 3.979 5.059 2.621
Sb 3.979 -5.059 2.621